Below is Rb3IrO after structural relaxation, with properties calculated at the GGA-PBE level.

Total moment: 1.53 μB/f.u.
Uncorrected formation energy: 1.305 eV/f.u.
D(E_F): 41.06 states/eV/cell

Lattice parameters (Å, degrees): 5.566 5.566 5.566 90.00 90.00 90.00
Each line ends with the local moment (μB).
Atoms (fractional coordinates):
Ir1 0.500 0.500 0.500  1.56
O1 0.000 0.000 0.000  -0.08
Rb1 0.000 0.500 0.000  0.00
Rb2 0.000 0.000 0.500  -0.01
Rb3 0.500 0.000 0.000  0.00